one:
4
Lattice="-2.377 -1.502 1.795 0.229 -3.258 0.677 2.740 -0.140 6.613" Properties=species:S:1:pos:R:3 comment="PbOF2 (PBEsol, optimized geometry)" mass_density_g_cm3=6.53 space_group="R-3m (166)" vol_a3_per_cell=66 pbc="T T T"
Pb 0.000 0.000 0.000
O 0.296 -2.450 4.542
F -1.028 -4.291 4.349
F 1.619 -0.609 4.736


two:
8
Lattice="3.591 0.000 0.000 0.000 3.591 0.000 -1.795 -1.795 7.836" Properties=species:S:1:pos:R:3 comment="PbOF2 (PBEsol, optimized geometry)" mass_density_g_cm3=8.59 space_group="I-42d (122)" vol_a3_per_cell=101 pbc="T T T"
Pb 0.000 1.795 3.918
Pb 0.000 0.000 0.000
O 1.795 0.000 3.918
O 1.795 1.795 0.000
F 0.851 2.693 1.959
F 2.740 0.898 1.959
F -0.898 -0.945 5.877
F 0.898 0.945 5.877


So which one is most stable? That would be two, about 820 meV/atom below the next structure.


one:
40
Lattice="5.288 0.000 0.000 0.000 6.467 0.000 0.000 0.000 17.212" Properties=species:S:1:pos:R:3 comment="Sb3O2F5 (PBEsol, optimized geometry)" mass_density_g_cm3=5.56 space_group="Pnma (62)" vol_a3_per_cell=589 pbc="T T T"
Sb 4.573 3.028 10.388
Sb 4.573 3.028 15.430
Sb 4.125 0.387 12.909
Sb 3.807 3.620 4.303
Sb 3.359 6.262 1.782
Sb 3.359 6.262 6.824
Sb 1.929 0.205 15.430
Sb 1.929 0.205 10.388
Sb 1.481 2.847 12.909
Sb 1.163 6.080 4.303
Sb 0.715 3.438 6.824
Sb 0.715 3.438 1.782
O 4.992 4.772 2.991
O 4.992 4.772 5.615
O 2.940 1.539 14.221
O 2.940 1.539 11.597
O 2.348 4.928 2.991
O 2.348 4.928 5.615
O 0.296 1.694 11.597
O 0.296 1.694 14.221
F 4.659 3.748 12.909
F 4.931 4.456 0.392
F 4.931 4.456 8.214
F 4.259 2.430 6.518
F 4.259 2.430 2.088
F 3.673 5.663 15.124
F 3.673 5.663 10.694
F 3.001 1.223 8.998
F 3.001 1.223 16.820
F 3.273 0.514 4.303
F 2.015 5.952 12.909
F 2.287 5.244 0.392
F 2.287 5.244 8.214
F 1.615 0.804 6.518
F 1.615 0.804 2.088
F 1.029 4.037 10.694
F 1.029 4.037 15.124
F 0.357 2.010 16.820
F 0.357 2.010 8.998
F 0.629 2.719 4.303


two:
40
Lattice="5.832 0.000 0.000 0.000 9.037 0.012 0.000 -4.283 12.441" Properties=species:S:1:pos:R:3 comment="Sb3O2F5 (PBEsol, optimized geometry)" mass_density_g_cm3=4.98 space_group="P2/c (13)" vol_a3_per_cell=656 pbc="T T T"
F 1.602 5.954 6.797
F 1.602 3.318 5.661
F 4.229 -1.200 5.655
F 4.229 1.436 6.791
F 0.782 5.502 4.364
F 0.782 3.770 8.095
F 5.050 -0.749 8.088
F 5.050 0.984 4.358
F 1.339 -0.928 4.340
F 1.339 1.163 8.106
F 4.493 5.682 8.112
F 4.493 3.591 4.346
F 3.222 -0.695 2.565
F 3.222 0.930 9.881
F 2.609 5.449 9.887
F 2.609 3.824 2.571
F 4.620 6.077 1.808
F 4.620 3.195 10.651
F 1.212 -1.323 10.645
F 1.212 1.559 1.802
O 1.515 6.419 2.015
O 1.515 2.853 10.444
O 4.317 -1.665 10.438
O 4.317 1.900 2.009
O 0.996 8.341 0.104
O 0.996 0.931 12.355
O 4.836 -3.587 12.349
O 4.836 3.823 0.098
Sb 0.257 4.636 6.229
Sb 5.575 0.118 6.223
Sb 2.593 6.747 3.657
Sb 2.593 2.526 8.801
Sb 3.239 -1.993 8.795
Sb 3.239 2.228 3.651
Sb 2.288 6.778 0.009
Sb 3.544 2.259 0.003
Sb 0.231 4.698 1.751
Sb 0.231 4.574 10.707
Sb 5.600 0.056 10.701
Sb 5.600 0.180 1.745


So which one is most stable? That would be two, about 47 meV/atom below the next structure.


one:
26
Lattice="-2.781 -2.846 0.875 3.997 -8.213 -4.524 7.114 -7.661 7.179" Properties=species:S:1:pos:R:3 comment="Sb5O7F (PBEsol, optimized geometry)" mass_density_g_cm3=5.37 space_group="C2/m (12)" vol_a3_per_cell=458 pbc="T T T"
Sb 3.831 -8.584 3.229
Sb 3.478 -5.990 1.058
Sb -0.782 -5.144 -0.244
Sb 4.611 -8.291 6.658
Sb 7.782 -13.222 0.699
Sb 0.548 -5.498 2.830
Sb 3.719 -10.429 -3.128
Sb 9.112 -13.576 3.774
Sb 4.852 -12.730 2.472
Sb 4.499 -10.137 0.301
O 4.794 -6.850 2.442
O 2.437 -7.530 2.228
O 0.609 -6.140 0.936
O 3.524 -7.735 5.012
O 0.461 -3.387 -0.065
O 2.607 -4.748 2.327
O 9.387 -14.455 1.793
O -1.058 -4.265 1.737
O 5.723 -13.972 1.203
O 7.869 -15.333 3.594
O 4.806 -10.985 -1.483
O 7.721 -12.580 2.593
O 5.893 -11.191 1.302
O 3.536 -11.870 1.088
F 3.542 -7.355 -3.179
F 4.788 -11.365 6.709


two:
52
Lattice="-4.126 -4.544 2.289 7.515 -8.170 -3.454 5.614 0.481 11.076" Properties=species:S:1:pos:R:3 comment="Sb5O7F (PBEsol, optimized geometry)" mass_density_g_cm3=5.19 space_group="P2_1/c (14)" vol_a3_per_cell=946 pbc="T T T"
Sb -1.634 -4.942 4.633
Sb 3.293 -10.231 2.309
Sb 1.057 -7.652 3.450
Sb 6.515 -7.471 10.565
Sb 3.915 -10.812 -0.786
Sb 4.563 -7.968 5.733
Sb 6.668 -10.906 3.665
Sb 2.261 -2.756 9.598
Sb 7.443 -8.355 7.095
Sb 4.902 -5.471 8.315
Sb 4.101 -6.762 1.596
Sb 1.560 -3.877 2.815
Sb 6.742 -9.477 0.312
Sb 2.335 -1.327 6.245
Sb 4.440 -4.264 4.177
Sb 5.088 -1.421 10.696
Sb 2.489 -4.762 -0.655
Sb 7.946 -4.581 6.460
Sb 5.710 -2.002 7.601
Sb 10.638 -7.291 5.277
O -1.470 -4.631 6.628
O 3.147 -8.106 7.224
O 4.170 -12.128 0.791
O 4.729 -7.471 9.416
O 5.561 -9.189 7.031
O 4.911 -10.049 3.556
O 7.929 -10.355 6.944
O 2.814 -8.230 2.473
O 7.496 -8.394 9.145
O 4.327 -9.470 0.698
O -0.715 -2.877 5.005
O 5.635 -6.538 6.777
O -1.566 -2.451 2.396
O 6.421 -5.637 9.643
O 2.582 -6.595 0.267
O 10.569 -9.782 7.514
O 3.368 -5.694 3.134
O 9.718 -9.355 4.905
O 4.676 -2.763 9.212
O 1.507 -3.838 0.766
O 6.189 -4.002 7.437
O 1.074 -1.877 2.966
O 4.092 -2.184 6.355
O 3.442 -3.044 2.879
O 4.274 -4.762 0.494
O 4.833 -0.105 9.120
O 5.856 -4.127 2.686
O 10.473 -7.602 3.283
F 7.007 -1.681 9.502
F 2.334 -4.021 5.001
F 6.669 -8.212 4.910
F 1.997 -10.552 0.408


So which one is most stable? That would be two, about 7 meV/atom below the next structure.


one:
8
Lattice="-3.802 -0.758 -3.000 3.831 -3.484 0.030 -3.266 -0.008 4.141" Properties=species:S:1:pos:R:3 comment="SbO2F (PBEsol, optimized geometry)" mass_density_g_cm3=5.67 space_group="C2/c (15)" vol_a3_per_cell=101 pbc="T T T"
Sb 0.283 -1.746 2.085
Sb 0.014 -2.121 -1.485
O -1.471 -1.369 2.818
O -2.822 -2.770 0.879
O -0.415 -1.480 0.292
O -1.766 -2.881 -1.647
F -3.140 -0.465 -0.798
F -3.928 -0.301 1.939


two:
8
Lattice="5.033 0.009 -0.015 -2.378 4.436 0.015 -2.362 -1.604 4.511" Properties=species:S:1:pos:R:3 comment="SbO2F (PBEsol, optimized geometry)" mass_density_g_cm3=5.70 space_group="Cc (9)" vol_a3_per_cell=101 pbc="T T T"
Sb 2.530 2.825 0.674
Sb 2.702 0.081 2.923
O -0.745 -0.229 1.874
O 1.873 1.402 1.796
O 1.184 -0.033 4.122
O -1.389 1.324 4.059
F -0.720 3.104 1.804
F -4.116 2.801 4.067


So which one is most stable? That would be two, about 10 meV/atom below the next structure.


one:
20
Lattice="5.512 0.000 0.000 0.000 7.805 0.000 0.000 0.000 7.805" Properties=species:S:1:pos:R:3 comment="Sn2OF2 (PBEsol, optimized geometry)" mass_density_g_cm3=5.76 space_group="P4_2/nmc (137)" vol_a3_per_cell=336 pbc="T T T"
Sn 1.769 0.000 2.112
Sn 4.525 6.015 3.903
Sn 4.525 1.791 3.903
Sn 1.769 0.000 5.694
Sn 0.987 3.903 6.015
Sn 3.744 2.112 0.000
Sn 3.744 5.694 0.000
Sn 0.987 3.903 1.791
O 0.595 0.000 3.903
O 3.351 0.000 3.903
O 4.917 3.903 0.000
O 2.161 3.903 0.000
F 2.756 2.344 2.344
F 2.756 5.462 2.344
F 2.756 2.344 5.462
F 2.756 5.462 5.462
F 0.000 6.246 6.246
F 0.000 1.559 6.246
F 0.000 6.246 1.559
F 0.000 1.559 1.559


two:
10
Lattice="-0.677 -2.156 4.602 5.776 -0.279 1.446 0.437 5.040 3.152" Properties=species:S:1:pos:R:3 comment="Sn2OF2 (PBEsol, optimized geometry)" mass_density_g_cm3=5.44 space_group="C2/m (12)" vol_a3_per_cell=178 pbc="T T T"
Sn 1.628 2.438 4.964
Sn 3.908 0.167 4.236
Sn 0.622 -1.146 5.518
Sn 4.913 3.751 3.682
O 1.943 0.351 4.983
O 3.593 2.254 4.217
F 4.671 0.479 6.449
F 0.865 2.126 2.751
F 2.635 2.508 7.100
F 2.901 0.097 2.101


So which one is most stable? That would be two, about 31 meV/atom below the next structure.


one:
4
Lattice="-0.467 2.611 -1.626 -1.504 -0.110 -2.721 -6.929 1.845 1.977" Properties=species:S:1:pos:R:3 comment="TeOF2 (PBEsol, optimized geometry)" mass_density_g_cm3=4.98 space_group="R-3m (166)" vol_a3_per_cell=61 pbc="T T T"
Te -4.450 2.173 -1.185
O 0.000 0.000 0.000
F -3.475 2.743 -3.526
F -5.426 1.603 1.156


two:
16
Lattice="5.304 -0.145 0.000 -0.869 5.720 0.000 0.000 0.000 7.927" Properties=species:S:1:pos:R:3 comment="TeOF2 (PBEsol, optimized geometry)" mass_density_g_cm3=5.04 space_group="P2_1 (4)" vol_a3_per_cell=240 pbc="T T T"
F 0.288 4.864 4.427
F 4.147 0.710 0.463
F 2.753 4.202 2.712
F 1.682 1.373 6.676
F 0.857 2.342 2.013
F 3.578 3.232 5.976
F 4.505 3.761 0.490
F -0.070 1.813 4.453
O 1.562 0.124 0.928
O 2.873 5.450 4.891
O 3.111 1.349 2.808
O 1.324 4.225 6.772
Te 2.489 1.830 1.031
Te 1.946 3.745 4.995
Te 4.655 0.250 3.257
Te -0.219 5.324 7.221


So which one is most stable? That would be two, about 1837 meV/atom below the next structure.


one:
5
Lattice="4.263 0.000 0.000 0.000 4.501 0.000 0.000 0.000 4.501" Properties=species:S:1:pos:R:3 comment="ZrTlOF2 (PBEsol, optimized geometry)" mass_density_g_cm3=6.72 space_group="P4/mmm (123)" vol_a3_per_cell=86 pbc="T T T"
Tl 0.000 0.000 0.000
O 2.132 0.000 0.000
Zr 2.132 2.251 2.251
F 0.000 0.000 2.251
F 0.000 2.251 0.000


two:
5
Lattice="4.080 0.000 0.000 0.000 4.384 0.000 0.000 0.000 4.384" Properties=species:S:1:pos:R:3 comment="ZrTlOF2 (PBEsol, optimized geometry)" mass_density_g_cm3=7.41 space_group="P4/mmm (123)" vol_a3_per_cell=78 pbc="T T T"
Tl 2.040 2.192 2.192
O 2.040 0.000 0.000
Zr 0.000 0.000 0.000
F 0.000 0.000 2.192
F 0.000 2.192 0.000


So which one is most stable? That would be two, about 1763 meV/atom below the next structure.